Computed, not measured: a relaxed structure of Mg2OsRu at the GGA-PBE level of DFT.

Unit cell a=5.028 b=5.028 c=5.028 alpha=135.08 beta=135.08 gamma=65.40
Positions (direct):
Mg1 0.250 0.750 0.500
Mg2 0.750 0.250 0.500
Os1 0.000 0.000 0.000
Ru1 0.500 0.500 0.000

- E_form (kJ/mol of formula units) = 112
- total energy (eV per cell) = -22.5
- space group = I4/mmm, No. 139
- distance to the lowest polymorph of the same formula (kJ/mol of formula units) = 109.9

---

Computed, not measured: a relaxed structure of NaCu6Ge2 at the GGA-PBE level of DFT.

Unit cell a=4.041 b=4.041 c=8.275 alpha=90.00 beta=90.00 gamma=90.00
Positions (direct):
Na1 0.000 0.000 0.000
Cu1 0.000 0.000 0.500
Cu2 0.000 0.500 0.316
Cu3 0.000 0.500 0.684
Cu4 0.500 0.000 0.316
Cu5 0.500 0.000 0.684
Cu6 0.500 0.500 0.500
Ge1 0.500 0.500 0.153
Ge2 0.500 0.500 0.847

- E_form (kJ/mol of formula units) = 4
- total energy (eV per cell) = -35.1
- space group = P4/mmm, No. 123